5
Lattice="2.871 0.000 0.000 0.709 3.874 0.000 1.247 1.725 6.043" Properties=species:S:1:pos:R:3 comment="FePAuC2 | Alexandria via LeMat-Bulk | PBE | optimized geometry" e_form_ev_per_atom=0.520 magmom_total_mub_per_fu=0.00 crystal_system=triclinic pbc="T T T"
Fe 0.000 0.000 0.000
P 2.003 2.493 4.109
Au 2.052 2.204 1.753
C 3.431 4.420 5.677
C 3.465 3.274 4.829